# Na2MnPtO4, relaxed, DFT PBE+U
data_Na2MnPtO4
_chemical_formula_sum 'Na2 Mn1 Pt1 O4'
_cell_length_a 5.198
_cell_length_b 5.198
_cell_length_c 5.198
_cell_angle_alpha 111.67
_cell_angle_beta 111.67
_cell_angle_gamma 105.17
_space_group_name_H-M_alt 'P 1'
_space_group_IT_number 1
loop_
_space_group_symop_operation_xyz
'x,y,z'
loop_
_atom_site_label
_atom_site_type_symbol
_atom_site_fract_x
_atom_site_fract_y
_atom_site_fract_z
Na1 Na 0.000 0.000 0.000
Na2 Na 0.750 0.250 0.500
Mn1 Mn 0.250 0.750 0.500
Pt1 Pt 0.500 0.500 0.000
O1 O 0.239 0.377 0.547
O2 O 0.307 0.761 0.138
O3 O 0.623 0.169 0.862
O4 O 0.831 0.693 0.453
# V, Å³ per atom: 13.5
# Uncorrected energy, eV per atom: -5.64
# Symmetry: I-4, No. 82
# Density, g/cm3: 5.55
# Crystal system: tetragonal